Er2ZnSi2Pd5: relaxed, PBE.

The structure belongs to space group P4/mbm (No. 127); the cell edges are 10.098, 10.098 and 3.365 Å and the angles 90.00°, 90.00° and 90.00°. Symmetry generates all atoms from Er at (0.176, 0.324, 0.000), Zn at (0.000, 0.000, 0.000), Si at (0.126, 0.626, 0.000), Pd at (0.000, 0.500, 0.500) and Pd at (0.054, 0.794, 0.500).

The value obtained for the total magnetic moment is 0.00 μB per cell. The total energy comes out at -108.86 eV per cell.

***

Sm3ErPd3: relaxed, PBE.

The structure belongs to space group R3m (No. 160, hexagonal axes); the cell edges are 9.9447, 9.9447 and 6.1409 Å and the angles 90.00°, 90.00° and 120.00°. Symmetry generates all atoms from Sm at (0.1897, 0.3794, 0.0000), Er at (0.0000, 0.0000, 0.7592) and Pd at (0.1693, 0.3386, 0.5220).

The value obtained for the total magnetic moment is 0.00 μB per cell. The total energy comes out at -116.67 eV per cell.

***

SmEr5Pd6: relaxed, PBE.

The structure belongs to space group Immm (No. 71); the cell edges are 4.957, 6.952 and 14.875 Å and the angles 90.00°, 90.00° and 90.00°. Symmetry generates all atoms from Sm at (0.000, 0.000, 0.000), Er at (0.000, 0.000, 0.333), Er at (0.000, 0.500, 0.000), Er at (0.000, 0.500, 0.333), Pd at (0.000, 0.240, 0.500) and Pd at (0.000, 0.254, 0.170).

The value obtained for the total magnetic moment is 0.00 μB per cell. The total energy comes out at -139.00 eV per cell.

***

SmEr6Pd3: relaxed, PBE.

The structure belongs to space group Cmc2_1 (No. 36); the cell edges are 11.280, 13.103 and 7.213 Å and the angles 90.00°, 90.00° and 90.00°. Symmetry generates all atoms from Sm at (0.000, 0.186, 0.000), Er at (0.000, 0.269, 0.521), Er at (0.000, 0.469, 0.875), Er at (0.169, 0.040, 0.372), Er at (0.227, 0.309, 0.221), Pd at (0.000, 0.075, 0.663) and Pd at (0.190, 0.396, 0.586).

The value obtained for the total magnetic moment is 0.00 μB per cell. The total energy comes out at -211.39 eV per cell.